This record from the Alexandria database describes an optimized crystal structure of SrTaAu. The functional is PBE-GGA.

Summary:
Polymorph energy (0 for the lowest one) (eV per atom): 0.104
Symmetry: Cm (8)
Magnetic moment (μB/cell): 0.00
Energy relative to the elements (eV per atom): 0.036

```
6
Lattice="-2.412 3.191 -1.320 -2.100 -2.226 -1.544 -8.181 -0.243 7.632" Properties=species:S:1:pos:R:3 pbc="T T T"
Ta -8.776 0.754 3.436
Ta -6.453 0.278 4.765
Sr -9.270 -1.057 6.673
Sr -5.624 2.121 0.979
Au -6.318 -0.690 2.173
Au -4.420 -0.461 -0.742
```